Compound: Cs2KPPt
Source: Alexandria via LeMat-Bulk
Functional: PBE-GGA
Structure: optimized geometry

abc: 7.3012 7.3012 4.4521
angles: 90.00 90.00 90.00
With the nearest neighbours (Å) after each atom.
Fractional positions:
Cs 0.0000 0.5000 0.0000  2 Pt 3.65
Cs 0.5000 0.0000 0.0000  2 Pt 3.65
K 0.5000 0.5000 0.5000  8 Cs 4.28, 2 K 4.45
Pt 0.0000 0.0000 0.0000  2 P 2.23
P 0.0000 0.0000 0.5000  2 Pt 2.23

Properties
- Spin magnetization: 0.0 μB per cell
- DOS at the Fermi energy: 2.8 states/eV/cell
- Mass density: 3.71 g/cm3
- DFT total energy: -3.05 eV per atom
- ΔH_f (0 K): -0.20 eV per atom
- SG: P4/mmm


Compound: Cs2KPPt
Source: Alexandria via LeMat-Bulk
Functional: PBE-GGA
Structure: optimized geometry

abc: 7.2730 7.2730 4.4336
angles: 90.00 90.00 90.00
With the nearest neighbours (Å) after each atom.
Fractional positions:
Pt 0.0000 0.0000 0.5000  2 P 2.22
P 0.0000 0.0000 0.0000  2 Pt 2.22
Cs 0.0000 0.5000 0.0000  2 P 3.64
Cs 0.5000 0.0000 0.0000  2 P 3.64
K 0.5000 0.5000 0.5000  8 Cs 4.26, 2 K 4.43

Properties
- Spin magnetization: 0.0 μB per cell
- DOS at the Fermi energy: 3.0 states/eV/cell
- Mass density: 3.76 g/cm3
- DFT total energy: -3.05 eV per atom
- ΔH_f (0 K): -0.20 eV per atom
- SG: P4/mmm


Compound: CsK2PPt
Source: Alexandria via LeMat-Bulk
Functional: PBE-GGA
Structure: optimized geometry

abc: 6.3856 6.3856 4.5159
angles: 90.00 90.00 90.00
With the nearest neighbours (Å) after each atom.
Fractional positions:
K 0.5000 0.0000 0.0000  2 P 3.19
Cs 0.5000 0.5000 0.5000  8 K 3.91
K 0.0000 0.5000 0.0000  2 P 3.19
P 0.0000 0.0000 0.0000  2 Pt 2.26
Pt 0.0000 0.0000 0.5000  2 P 2.26

Properties
- Spin magnetization: 0.3 μB per cell
- DOS at the Fermi energy: 2.9 states/eV/cell
- Mass density: 3.94 g/cm3
- DFT total energy: -3.10 eV per atom
- ΔH_f (0 K): -0.21 eV per atom
- SG: P4/mmm


Compound: CsKRb2P
Source: Alexandria via LeMat-Bulk
Functional: PBE-GGA
Structure: optimized geometry

abc: 6.8812 6.8812 6.9782
angles: 90.00 90.00 90.00
With the nearest neighbours (Å) after each atom.
Fractional positions:
Rb 0.5000 0.0000 0.0000  2 P 3.44
Rb 0.0000 0.5000 0.0000  2 P 3.44
K 0.5000 0.5000 0.5000  4 Cs 4.87, 8 Rb 4.90
P 0.0000 0.0000 0.0000  4 Rb 3.44, 2 Cs 3.49
Cs 0.0000 0.0000 0.5000  2 P 3.49

Properties
- Spin magnetization: 1.0 μB per cell
- DOS at the Fermi energy: 4.8 states/eV/cell
- Mass density: 1.88 g/cm3
- DFT total energy: -1.85 eV per atom
- ΔH_f (0 K): 0.01 eV per atom
- SG: P4/mmm


Compound: CsKRb2P
Source: Alexandria via LeMat-Bulk
Functional: PBE-GGA
Structure: optimized geometry

abc: 6.8901 6.8901 6.5376
angles: 90.00 90.00 90.00
With the nearest neighbours (Å) after each atom.
Fractional positions:
Cs 0.5000 0.5000 0.5000  8 Rb 4.75, 4 K 4.87
K 0.0000 0.0000 0.5000  2 P 3.27
P 0.0000 0.0000 0.0000  2 K 3.27, 4 Rb 3.45
Rb 0.5000 0.0000 0.0000  2 P 3.45
Rb 0.0000 0.5000 0.0000  2 P 3.45

Properties
- Spin magnetization: 0.0 μB per cell
- DOS at the Fermi energy: 4.0 states/eV/cell
- Mass density: 2.00 g/cm3
- DFT total energy: -1.89 eV per atom
- ΔH_f (0 K): -0.03 eV per atom
- SG: P4/mmm


Compound: Cs2KPRh
Source: Alexandria via LeMat-Bulk
Functional: PBE-GGA
Structure: optimized geometry

abc: 6.9995 5.4290 6.9995
angles: 90.00 90.00 90.00
With the nearest neighbours (Å) after each atom.
Fractional positions:
Cs 0.5000 0.0000 0.0000  2 K 3.50
Rh 0.5000 0.5000 0.5000  8 Cs 4.43, 4 P 4.95
P 0.0000 0.5000 0.0000  2 K 2.71
Cs 0.0000 0.0000 0.5000  2 K 3.50
K 0.0000 0.0000 0.0000  2 P 2.71

Properties
- Spin magnetization: 2.9 μB per cell
- DOS at the Fermi energy: 2.0 states/eV/cell
- Mass density: 2.74 g/cm3
- DFT total energy: -2.09 eV per atom
- ΔH_f (0 K): 1.02 eV per atom
- SG: P4/mmm


Compound: CsKP2S
Source: Alexandria via LeMat-Bulk
Functional: PBE-GGA
Structure: optimized geometry

abc: 6.2435 6.2435 5.9474
angles: 90.00 90.00 90.00
With the nearest neighbours (Å) after each atom.
Fractional positions:
Cs 0.5000 0.5000 0.5000  8 P 4.31, 4 S 4.41
P 0.0000 0.5000 0.0000  2 K 3.12
S 0.0000 0.0000 0.5000  2 K 2.97
K 0.0000 0.0000 0.0000  2 S 2.97, 4 P 3.12
P 0.5000 0.0000 0.0000  2 K 3.12

Properties
- Spin magnetization: 6.0 μB per cell
- DOS at the Fermi energy: 5.1 states/eV/cell
- Mass density: 1.91 g/cm3
- DFT total energy: -2.55 eV per atom
- SG: P4/mmm


Compound: CsKPS4
Source: Alexandria via LeMat-Bulk
Functional: PBE-GGA
Structure: optimized geometry

abc: 7.1838 5.6873 11.7180
angles: 90.00 97.36 90.00
With the nearest neighbours (Å) after each atom.
Fractional positions:
S 0.2742 0.7500 0.4516  1 P 2.01
Cs 0.7347 0.7500 0.9711  7 S 3.51-3.65
P 0.8039 0.2500 0.7190  4 S 2.01-2.09
S 0.0053 0.5068 0.7711  1 P 2.09
Cs 0.2653 0.2500 0.0289  7 S 3.51-3.65
S 0.9947 0.0068 0.2289  1 P 2.09
P 0.1961 0.7500 0.2810  4 S 2.01-2.09
S 0.9947 0.4932 0.2289  1 P 2.09
S 0.4174 0.7500 0.1897  1 P 2.03
K 0.7414 0.7500 0.4228  6 S 3.21-3.42
K 0.2586 0.2500 0.5772  6 S 3.21-3.42
S 0.7258 0.2500 0.5484  1 P 2.01
S 0.0053 0.9932 0.7711  1 P 2.09
S 0.5826 0.2500 0.8103  1 P 2.03

Properties
- Spin magnetization: 0.0 μB per cell
- DOS at the Fermi energy: 9.2 states/eV/cell
- Mass density: 2.32 g/cm3
- DFT total energy: -4.18 eV per atom
- SG: P2_1/m